No. 1
Below is a geometry-optimized ErMgHg2 structure, with properties calculated at the PBE-GGA level.

```
8
Lattice="4.931 0.000 0.000 0.000 3.232 5.783 0.000 -3.232 5.783" Properties=species:S:1:pos:R:3 pbc="T T T"
Er 0.000 0.000 0.000
Er 2.465 0.000 4.160
Mg 0.000 -1.539 8.635
Mg 0.000 1.539 8.635
Hg 0.000 0.000 5.826
Hg 2.465 -1.676 6.999
Hg 2.465 0.000 9.698
Hg 2.465 1.676 6.999
```

Summary:
The calculation puts the magnetization at 0.00 μB/f.u. The energy comes out at -0.0733 Ha/atom. The space-group type is Amm2, No. 38. As for the polymorph energy (0 for the lowest one): 0.085 eV/atom.

=====

No. 2
Below is a geometry-optimized ErMgHg2 structure, with properties calculated at the PBE-GGA level.

```
8
Lattice="3.550 -5.218 0.000 3.550 5.218 0.000 0.000 0.000 4.910" Properties=species:S:1:pos:R:3 pbc="T T T"
Er 3.550 3.827 3.682
Er 3.550 -3.827 1.227
Mg 3.550 1.422 1.227
Mg 3.550 -1.422 3.682
Hg 1.888 1.186 3.682
Hg 1.888 -1.186 1.227
Hg 5.212 1.186 3.682
Hg 5.212 -1.186 1.227
```

Summary:
The calculation puts the magnetization at 0.00 μB/f.u. The energy comes out at -0.0764 Ha/atom. The space-group type is Cmcm, No. 63. As for the polymorph energy (0 for the lowest one): 0.000 eV/atom.

=====

No. 3
Below is a geometry-optimized Nd2ErMg3Tl2Hg structure, with properties calculated at the PBE-GGA level.

```
9
Lattice="4.676 0.000 0.000 0.000 6.538 3.845 0.000 -6.538 3.845" Properties=species:S:1:pos:R:3 pbc="T T T"
Nd 0.000 -3.806 3.845
Nd 0.000 3.806 3.845
Er 0.000 0.000 4.826
Mg 2.338 -1.559 2.540
Mg 2.338 1.559 2.540
Mg 2.338 0.000 7.501
Tl 2.338 -2.126 5.449
Tl 2.338 2.126 5.449
Hg 0.000 0.000 1.703
```

Summary:
The calculation puts the magnetization at 0.01 μB/f.u. The energy comes out at -0.1111 Ha/atom. The space-group type is Amm2, No. 38.

=====

No. 4
Below is a geometry-optimized NdEr2Mg3Tl2Hg structure, with properties calculated at the PBE-GGA level.

```
9
Lattice="4.628 0.000 0.000 0.000 6.589 3.735 0.000 -6.589 3.735" Properties=species:S:1:pos:R:3 pbc="T T T"
Nd 0.000 0.000 0.000
Er 0.000 -2.765 4.699
Er 0.000 2.765 4.699
Mg 2.314 -1.566 2.261
Mg 2.314 1.566 2.261
Mg 2.314 0.000 4.942
Tl 2.314 -4.342 3.129
Tl 2.314 4.342 3.129
Hg 0.000 0.000 3.223
```

Summary:
The calculation puts the magnetization at 0.01 μB/f.u. The energy comes out at -0.1097 Ha/atom. The space-group type is Amm2, No. 38.

=====

> magnetization of number 2 (ErMgHg2)?

0.00 μB/f.u.

=====

> The lowest energy belongs to which entry?

Nd2ErMg3Tl2Hg